[1]
Material: Tl2Cd3In17
Method: DFT, PBE
State: optimized geometry

Computed properties:
SG ... R-3m, No. 166
Energy of formation from the pure elements ... 10.6 kJ/mol of atoms
Final energy ... -2.346 eV per atom

Cell and atoms, written as POSCAR:
```
Tl2Cd3In17
1.0
5.748 3.318 5.789
-5.748 3.318 5.789
0.000 -6.637 5.789
Tl Cd In
2 3 17
direct
0.192 0.192 0.192
0.808 0.808 0.808
0.000 0.000 0.500
0.000 0.500 0.000
0.500 0.000 0.000
0.000 0.500 0.500
0.166 0.166 0.688
0.166 0.688 0.166
0.245 0.500 0.755
0.245 0.755 0.500
0.312 0.834 0.834
0.385 0.385 0.385
0.500 0.000 0.500
0.500 0.245 0.755
0.500 0.500 0.000
0.500 0.755 0.245
0.615 0.615 0.615
0.688 0.166 0.166
0.755 0.245 0.500
0.755 0.500 0.245
0.834 0.312 0.834
0.834 0.834 0.312
```

***

[2]
Material: Tl2Cd2In3
Method: DFT, PBE
State: optimized geometry

Computed properties:
Polymorph energy (0 for the lowest one) ... 0.000 eV per atom
SG ... C2/m, No. 12
Energy of formation from the pure elements ... 4.0 kJ/mol of atoms
Final energy ... -2.070 eV per atom

Cell and atoms, written as POSCAR:
```
Tl2Cd2In3
1.0
5.310 -2.322 0.000
5.310 2.322 0.000
-1.403 0.000 7.692
Tl Cd In
2 2 3
direct
0.073 0.073 0.211
0.927 0.927 0.789
0.353 0.353 0.069
0.647 0.647 0.931
0.211 0.211 0.648
0.500 0.500 0.500
0.789 0.789 0.352
```

***

[3]
Material: TlCd2In
Method: DFT, PBE
State: optimized geometry

Computed properties:
Polymorph energy (0 for the lowest one) ... 0.006 eV per atom
SG ... Cmm2, No. 35
Energy of formation from the pure elements ... 2.8 kJ/mol of atoms
Final energy ... -1.705 eV per atom

Cell and atoms, written as POSCAR:
```
TlCd2In
1.0
2.293 -2.393 0.000
2.293 2.393 0.000
0.000 0.000 9.509
Tl Cd In
1 2 1
direct
0.000 0.000 0.000
0.000 0.000 0.477
0.500 0.500 0.258
0.500 0.500 0.715
```

***

[4]
Material: Tl2CdIn
Method: DFT, PBE
State: optimized geometry

Computed properties:
Polymorph energy (0 for the lowest one) ... 0.019 eV per atom
SG ... P4/mmm, No. 123
Energy of formation from the pure elements ... 3.7 kJ/mol of atoms
Final energy ... -2.058 eV per atom

Cell and atoms, written as POSCAR:
```
Tl2CdIn
1.0
3.834 0.000 0.000
0.000 3.834 0.000
0.000 0.000 7.680
Tl Cd In
2 1 1
direct
0.000 0.000 0.241
0.000 0.000 0.759
0.500 0.500 0.000
0.500 0.500 0.500
```

***

Question: Which formula does entry 1 have?
Answer: Tl2Cd3In17

***

Question: final energy of number 3 (TlCd2In)?
Answer: -1.705 eV per atom

***

Question: Which formula does entry 4 have?
Answer: Tl2CdIn

***

Question: The lowest energy of formation from the pure elements belongs to which entry?
Answer: TlCd2In